The following is a GGA-PBE calculation of crystalline LaThGaHg at its relaxed geometry, from the Alexandria database.

a b c (Å): 5.3854 5.3854 5.3854
angles (deg): 60.00 60.00 60.00
Closest atoms and distances in Å follow each position.
Element x y z (fractional)
La1 0.2500 0.2500 0.2500  4 Hg 3.30, 4 Ga 3.30
Th1 0.7500 0.7500 0.7500  4 Hg 3.30, 4 Ga 3.30
Hg1 0.0000 0.0000 0.0000  4 La 3.30, 4 Th 3.30
Ga1 0.5000 0.5000 0.5000  4 Th 3.30, 4 La 3.30

Computed properties:
magnetization = 0.00 μB/f.u.
energy relative to the elements = -372 meV per atom
total energy = -4.2909 eV per atom